ZrCrIn2: optimized geometry, PBE.

The structure belongs to space group P4/mmm (No. 123); the cell edges are 4.379, 4.379 and 4.304 Å and the angles 90.00°, 90.00° and 90.00°. The distinct sites, in fractional coordinates, are Zr at (0.000, 0.000, 0.000), Cr at (0.500, 0.500, 0.000) and In at (0.000, 0.500, 0.500).

As for the crystal system: tetragonal. As for the density of states at the Fermi level: 0.661 states/eV per atom. The value obtained for the final energy is -5.89 eV/atom. For the energy above the lowest structure with this stoichiometry, the calculation gives 0.000 eV per atom. Its formation energy is 20 meV/atom.